Record 1
A plane-wave DFT calculation with PBE was carried out for an optimized crystal structure of SmGa12Co6.

## Properties
formation energy from the elements	-4.6	eV/f.u.
SG	No. 166
Fermi-level density of states	0.496	states/eV per atom

Lattice parameters (Å, degrees): 6.9289 6.9289 6.9289 104.95 104.95 104.95
With the nearest neighbours (Å) after each atom.
Fractional coordinates of all 19 atoms:
Sm 0.0000 0.0000 0.0000  6 Ga 3.21
Ga 0.1179 0.5000 0.8821  4 Co 2.43-2.47, 3 Ga 2.59-2.68
Ga 0.1179 0.8821 0.5000  4 Co 2.43-2.47, 3 Ga 2.59-2.68
Ga 0.1477 0.4153 0.4153  3 Co 2.39-2.44
Ga 0.4153 0.1477 0.4153  3 Co 2.39-2.44
Ga 0.4153 0.4153 0.1477  3 Co 2.39-2.44
Ga 0.5000 0.1179 0.8821  4 Co 2.43-2.47, 3 Ga 2.59-2.68
Ga 0.5000 0.8821 0.1179  4 Co 2.43-2.47, 3 Ga 2.59-2.68
Ga 0.5847 0.5847 0.8523  3 Co 2.39-2.44
Ga 0.5847 0.8523 0.5847  3 Co 2.39-2.44
Ga 0.8523 0.5847 0.5847  3 Co 2.39-2.44
Ga 0.8821 0.1179 0.5000  4 Co 2.43-2.47, 3 Ga 2.59-2.68
Ga 0.8821 0.5000 0.1179  4 Co 2.43-2.47, 3 Ga 2.59-2.68
Co 0.2720 0.2720 0.6907  7 Ga 2.39-2.47
Co 0.2720 0.6907 0.2720  7 Ga 2.39-2.47
Co 0.3093 0.7280 0.7280  7 Ga 2.39-2.47
Co 0.6907 0.2720 0.2720  7 Ga 2.39-2.47
Co 0.7280 0.3093 0.7280  7 Ga 2.39-2.47
Co 0.7280 0.7280 0.3093  7 Ga 2.39-2.47

***

Record 2
A plane-wave DFT calculation with PBE was carried out for an optimized crystal structure of Pr4Y3Tm5.

## Properties
formation energy from the elements	2.8	eV/f.u.
SG	No. 12
Fermi-level density of states	1.596	states/eV per atom

Lattice parameters (Å, degrees): 8.6017 8.6017 9.4928 115.79 115.79 40.37
With the nearest neighbours (Å) after each atom.
Fractional coordinates of all 12 atoms:
Pr 0.0878 0.0878 0.4524  2 Pr 3.35-3.65, 5 Tm 3.46-3.72, 1 Y 3.48
Pr 0.2167 0.2167 0.8858  3 Y 3.40-3.56, 3 Pr 3.54-3.65, 3 Tm 3.71
Pr 0.7833 0.7833 0.1142  3 Y 3.40-3.56, 3 Pr 3.54-3.65, 3 Tm 3.71
Pr 0.9122 0.9122 0.5476  2 Pr 3.35-3.65, 5 Tm 3.46-3.72, 1 Y 3.48
Y 0.2177 0.2177 0.2445  5 Tm 3.19-3.45, 4 Pr 3.40-3.56
Y 0.5000 0.5000 0.0000  2 Tm 2.97
Y 0.7823 0.7823 0.7555  5 Tm 3.19-3.45, 4 Pr 3.40-3.56
Tm 0.0000 0.0000 0.0000  4 Y 2.97-3.19
Tm 0.3310 0.3310 0.6248  4 Y 3.20-3.45, 3 Pr 3.46-3.48, 1 Tm 3.53
Tm 0.4330 0.4330 0.2964  2 Y 3.28-3.45, 2 Tm 3.44-3.53
Tm 0.5670 0.5670 0.7036  2 Y 3.28-3.45, 2 Tm 3.44-3.53
Tm 0.6690 0.6690 0.3752  4 Y 3.20-3.45, 3 Pr 3.46-3.48, 1 Tm 3.53

***

Respective total DFT energy (no corrections) values: -4.647 -4.840 eV per atom.